1.
A plane-wave DFT calculation with PBE was carried out for an optimized crystal structure of NpTiC.

Geometry as POSCAR:
```
NpTiC
1.0
3.099 0.000 0.000
-1.550 2.684 0.000
0.000 0.000 5.726
Np Ti C
1 1 1
direct
0.000 0.000 0.000 Np
0.667 0.333 0.534 Ti
0.333 0.667 0.723 C
```

Results
Energy relative to the lowest polymorph listed for this composition ... 0.000 eV/atom
Energy ... -30.38 eV/cell
E_form ... -0.11 eV per atom
Total moment ... 1.01 μB/atom
Calculated volume ... 15.9 A^3/atom



2.
A plane-wave DFT calculation with PBE was carried out for an optimized crystal structure of TmNpC.

Geometry as POSCAR:
```
TmNpC
1.0
-1.547 1.547 5.729
1.547 -1.547 5.729
1.547 1.547 -5.729
Tm Np C
1 1 1
direct
0.000 0.000 0.000 Tm
0.761 0.761 0.000 Np
0.370 0.370 0.000 C
```

Results
Energy relative to the lowest polymorph listed for this composition ... 0.339 eV/atom
Energy ... -25.49 eV/cell
E_form ... 0.38 eV per atom
Total moment ... 1.19 μB/atom
Calculated volume ... 18.3 A^3/atom



3.
A plane-wave DFT calculation with PBE was carried out for an optimized crystal structure of Tm2NpC.

Geometry as POSCAR:
```
Tm2NpC
1.0
1.703 0.983 9.588
-1.703 0.983 9.588
0.000 -1.966 9.588
Tm Np C
2 1 1
direct
0.120 0.120 0.120 Tm
0.880 0.880 0.880 Tm
0.000 0.000 0.000 Np
0.500 0.500 0.500 C
```

Results
Energy ... -30.36 eV/cell
E_form ... 0.19 eV per atom
Total moment ... 1.25 μB/atom
Calculated volume ... 24.1 A^3/atom



4.
A plane-wave DFT calculation with PBE was carried out for an optimized crystal structure of TmNpC.

Geometry as POSCAR:
```
TmNpC
1.0
-1.571 4.151 4.446
1.571 -4.151 4.446
1.571 4.151 -4.446
Tm Np C
2 2 2
direct
0.169 0.169 0.000 Tm
0.831 0.831 0.000 Tm
0.360 0.000 0.360 Np
0.640 0.000 0.640 Np
0.166 0.500 0.666 C
0.834 0.500 0.334 C
```

Results
Energy relative to the lowest polymorph listed for this composition ... 0.228 eV/atom
Energy ... -51.64 eV/cell
E_form ... 0.27 eV per atom
Total moment ... 0.00 μB/atom
Calculated volume ... 19.3 A^3/atom



5.
A plane-wave DFT calculation with PBE was carried out for an optimized crystal structure of TmNpC.

Geometry as POSCAR:
```
TmNpC
1.0
3.381 0.000 0.000
-1.690 2.928 0.000
0.000 0.000 6.185
Tm Np C
1 1 1
direct
0.000 0.000 0.000 Tm
0.667 0.333 0.459 Np
0.333 0.667 0.234 C
```

Results
Energy relative to the lowest polymorph listed for this composition ... 0.000 eV/atom
Energy ... -26.50 eV/cell
E_form ... 0.04 eV per atom
Total moment ... 1.40 μB/atom
Calculated volume ... 20.4 A^3/atom



6.
A plane-wave DFT calculation with PBE was carried out for an optimized crystal structure of TmNp2C.

Geometry as POSCAR:
```
TmNp2C
1.0
1.637 0.945 9.333
-1.637 0.945 9.333
0.000 -1.890 9.333
Tm Np C
1 2 1
direct
0.000 0.000 0.000 Tm
0.220 0.220 0.220 Np
0.780 0.780 0.780 Np
0.500 0.500 0.500 C
```

Results
Energy ... -38.27 eV/cell
E_form ... 0.33 eV per atom
Total moment ... 1.86 μB/atom
Calculated volume ... 21.7 A^3/atom



7.
A plane-wave DFT calculation with PBE was carried out for an optimized crystal structure of NpU5C6.

Geometry as POSCAR:
```
NpU5C6
1.0
3.028 -5.228 0.000
3.028 5.228 0.000
-2.002 0.000 5.699
Np U C
1 5 6
direct
0.000 0.000 0.000 Np
0.164 0.836 0.500 U
0.332 0.668 0.000 U
0.500 0.500 0.500 U
0.668 0.332 0.000 U
0.836 0.164 0.500 U
0.087 0.430 0.259 C
0.262 0.262 0.750 C
0.430 0.087 0.259 C
0.570 0.913 0.741 C
0.738 0.738 0.250 C
0.913 0.570 0.741 C
```

Results
Energy ... -125.69 eV/cell
E_form ... -0.08 eV per atom
Total moment ... 0.33 μB/atom
Calculated volume ... 15.0 A^3/atom



8.
A plane-wave DFT calculation with PBE was carried out for an optimized crystal structure of NpU2C.

Geometry as POSCAR:
```
NpU2C
1.0
1.553 0.897 8.237
-1.553 0.897 8.237
0.000 -1.793 8.237
Np U C
1 2 1
direct
0.000 0.000 0.000 Np
0.104 0.104 0.104 U
0.896 0.896 0.896 U
0.500 0.500 0.500 C
```

Results
Energy relative to the lowest polymorph listed for this composition ... 0.000 eV/atom
Energy ... -43.78 eV/cell
E_form ... 0.24 eV per atom
Total moment ... 0.51 μB/atom
Calculated volume ... 17.2 A^3/atom



9.
A plane-wave DFT calculation with PBE was carried out for an optimized crystal structure of NpU2C.

Geometry as POSCAR:
```
NpU2C
1.0
3.359 0.000 0.000
0.000 3.359 0.000
0.000 0.000 5.743
Np U C
1 2 1
direct
0.000 0.000 0.000 Np
0.500 0.500 0.271 U
0.500 0.500 0.729 U
0.000 0.000 0.500 C
```

Results
Energy relative to the lowest polymorph listed for this composition ... 0.216 eV/atom
Energy ... -42.92 eV/cell
E_form ... 0.46 eV per atom
Total moment ... 0.00 μB/atom
Calculated volume ... 16.2 A^3/atom



10.
A plane-wave DFT calculation with PBE was carried out for an optimized crystal structure of Np3U2C4.

Geometry as POSCAR:
```
Np3U2C4
1.0
5.349 -3.157 0.000
5.349 3.157 0.000
-3.488 0.000 8.102
Np U C
6 4 8
direct
0.027 0.973 0.750 Np
0.294 0.547 0.104 Np
0.453 0.706 0.396 Np
0.547 0.294 0.604 Np
0.706 0.453 0.896 Np
0.973 0.027 0.250 Np
0.108 0.422 0.652 U
0.422 0.108 0.152 U
0.578 0.892 0.848 U
0.892 0.578 0.348 U
0.177 0.278 0.884 C
0.224 0.696 0.544 C
0.278 0.177 0.384 C
0.304 0.776 0.956 C
0.696 0.224 0.044 C
0.722 0.823 0.616 C
0.776 0.304 0.456 C
0.823 0.722 0.116 C
```

Results
Energy ... -192.12 eV/cell
E_form ... 0.25 eV per atom
Total moment ... 0.45 μB/atom
Calculated volume ... 15.2 A^3/atom



11.
A plane-wave DFT calculation with PBE was carried out for an optimized crystal structure of NpUC.

Geometry as POSCAR:
```
NpUC
1.0
3.455 0.000 0.000
-1.727 2.992 0.000
0.000 0.000 4.496
Np U C
1 1 1
direct
0.000 0.000 0.000 Np
0.667 0.333 0.347 U
0.333 0.667 0.684 C
```

Results
Energy relative to the lowest polymorph listed for this composition ... 0.000 eV/atom
Energy ... -33.99 eV/cell
E_form ... -0.18 eV per atom
Total moment ... 0.00 μB/atom
Calculated volume ... 15.5 A^3/atom



12.
A plane-wave DFT calculation with PBE was carried out for an optimized crystal structure of NpUC.

Geometry as POSCAR:
```
NpUC
1.0
3.705 0.000 0.000
0.000 3.493 0.000
-1.039 0.000 7.101
Np U C
2 2 2
direct
0.197 0.250 0.451 Np
0.803 0.750 0.549 Np
0.163 0.750 0.867 U
0.837 0.250 0.133 U
0.388 0.750 0.214 C
0.612 0.250 0.786 C
```

Results
Energy relative to the lowest polymorph listed for this composition ... 0.189 eV/atom
Energy ... -66.85 eV/cell
E_form ... 0.01 eV per atom
Total moment ... 0.15 μB/atom
Calculated volume ... 15.3 A^3/atom